[1]
The following is a PBE calculation of a geometry-optimized SiMoPb2 structure, from Alexandria via LeMat-Bulk.

Output
- crystal system = orthorhombic
- ΔE_f (raw) (eV/atom) = 0.364
- uncorrected energy (eV/atom) = -5.554
- spin magnetization (μB/atom) = 0.00

abc: 4.3413 3.9191 10.2909
angles: 90.00 90.00 90.00
With the nearest neighbours (Å) after each atom.
Space group Amm2 (No. 38)
Symmetry-distinct sites (fractional):
Si: 0.0000 0.0000 0.0000  2 Mo 2.49
Mo: 0.5000 0.0000 0.1178  2 Si 2.49
Pb: 0.0000 0.0000 0.7180  3 Si 2.90-2.98, 4 Mo 3.10
Pb: 0.5000 0.0000 0.4053  3 Mo 2.94-2.96, 4 Si 3.08

---

[2]
The following is a PBE calculation of a geometry-optimized RbSm2CuS4 structure, from Alexandria via LeMat-Bulk.

Output
- crystal system = orthorhombic
- ΔE_f (raw) (eV/atom) = -1.640
- uncorrected energy (eV/atom) = -5.517
- spin magnetization (μB/atom) = 0.00

abc: 4.0533 14.0264 13.9755
angles: 90.00 90.00 90.00
With the nearest neighbours (Å) after each atom.
Space group Cmcm (No. 63)
Symmetry-distinct sites (fractional):
Rb: 0.0000 0.1064 0.2500  6 S 3.26-3.37
Sm: 0.0000 0.3656 0.0618  6 S 2.76-2.90
Cu: 0.0000 0.1646 0.7500  4 S 2.36-2.38
S: 0.0000 0.0000 0.0000  4 Sm 2.90
S: 0.0000 0.2599 0.6112  1 Cu 2.36
S: 0.0000 0.4245 0.2500  2 Cu 2.38

---

[3]
The following is a PBE calculation of a geometry-optimized PdPbAu structure, from Alexandria via LeMat-Bulk.

Output
- crystal system = orthorhombic
- uncorrected energy (eV/atom) = -4.039
- energy above the lowest structure with this stoichiometry (meV per atom) = 182.4
- spin magnetization (μB/atom) = 0.00

abc: 6.3276 12.2305 14.2749
angles: 90.00 90.00 90.00
With the nearest neighbours (Å) after each atom.
Space group Fddd (No. 70, origin choice 2)
Symmetry-distinct sites (fractional):
Pd: 0.1250 0.3307 0.1250  4 Au 2.77-2.86, 2 Pb 2.85
Pb: 0.0000 0.0000 0.5000  4 Pd 2.85-3.13, 2 Au 2.85
Au: 0.1250 0.1250 0.0295  1 Au 2.73, 4 Pd 2.77-2.86, 2 Pb 2.85

---

[4]
The following is a PBE calculation of a geometry-optimized CaPr2PuS4 structure, from Alexandria via LeMat-Bulk.

Output
- crystal system = monoclinic
- ΔE_f (raw) (eV/atom) = -1.969
- uncorrected energy (eV/atom) = -7.270
- spin magnetization (μB/atom) = 0.72

abc: 7.0152 4.0386 7.0445
angles: 90.00 109.38 90.00
With the nearest neighbours (Å) after each atom.
Space group P2/m (No. 10)
Symmetry-distinct sites (fractional):
Ca: 0.0000 0.0000 0.0000  6 S 2.83
Pr: 0.0000 0.5000 0.5000  6 S 2.91
Pr: 0.5000 0.0000 0.5000  6 S 2.90-2.91
Pu: 0.5000 0.5000 0.0000  6 S 2.82-2.83
S: 0.2468 0.5000 0.2401  2 Ca 2.83, 1 Pu 2.83, 3 Pr 2.90-2.91
S: 0.2551 0.0000 0.7620  2 Pu 2.82, 1 Ca 2.83, 3 Pr 2.91

---

[5]
The following is a PBE calculation of a geometry-optimized K3Tm2NpO6 structure, from Alexandria via LeMat-Bulk.

Output
- crystal system = monoclinic
- ΔE_f (raw) (eV/atom) = -2.588
- uncorrected energy (eV/atom) = -7.165
- spin magnetization (μB/atom) = 0.33

abc: 6.0226 10.4327 6.5817
angles: 90.00 107.76 90.00
With the nearest neighbours (Å) after each atom.
Space group C2/m (No. 12)
Symmetry-distinct sites (fractional):
K: 0.0000 0.0000 0.0000  6 O 2.78-2.84
K: 0.0000 0.3321 0.0000  6 O 2.77-2.84
Tm: 0.0000 0.1666 0.5000  6 O 2.30
Np: 0.0000 0.5000 0.5000  6 O 2.36
O: 0.2198 0.0000 0.6845  2 Tm 2.30, 1 Np 2.36
O: 0.2324 0.3291 0.6845  2 Tm 2.30, 1 Np 2.36

---

[6]
The following is a PBE calculation of a geometry-optimized Ba3As2O structure, from Alexandria via LeMat-Bulk.

Output
- crystal system = trigonal
- ΔE_f (raw) (eV/atom) = -1.307
- uncorrected energy (eV/atom) = -4.645
- spin magnetization (μB/atom) = 0.00

abc: 7.5803 7.5803 10.8479
angles: 90.00 90.00 120.00
With the nearest neighbours (Å) after each atom.
Space group R-3m (No. 166, hexagonal axes)
Symmetry-distinct sites (fractional):
Ba: 0.0000 0.5000 0.0000  2 O 2.84
As: 0.0000 0.0000 0.1123  1 As 2.44
O: 0.0000 0.0000 0.5000  6 Ba 2.84

---

[7]
The following is a PBE calculation of a geometry-optimized Ac2LaCd4 structure, from Alexandria via LeMat-Bulk.

Output
- crystal system = tetragonal
- uncorrected energy (eV/atom) = -2.566
- spin magnetization (μB/atom) = 0.00

abc: 5.7462 5.7462 14.4821
angles: 90.00 90.00 90.00
With the nearest neighbours (Å) after each atom.
Space group I4/mmm (No. 139)
Symmetry-distinct sites (fractional):
Ac: 0.0000 0.0000 0.2290  8 Cd 3.37-3.73
La: 0.0000 0.0000 0.5000  8 Cd 3.27
Cd: 0.0000 0.5000 0.1071  1 Cd 3.10, 2 La 3.27, 2 Ac 3.37

---

[8]
The following is a PBE calculation of a geometry-optimized TlBi2TeO8 structure, from Alexandria via LeMat-Bulk.

Output
- crystal system = orthorhombic
- ΔE_f (raw) (eV/atom) = -0.962
- uncorrected energy (eV/atom) = -5.373
- spin magnetization (μB/atom) = 0.00

abc: 7.0199 7.2121 7.1198
angles: 90.00 90.00 90.00
With the nearest neighbours (Å) after each atom.
Space group Cmmm (No. 65)
Symmetry-distinct sites (fractional):
Tl: 0.0000 0.0000 0.0000  2 O 2.13
Bi: 0.0000 0.5000 0.2554  6 O 2.28-2.32
Te: 0.0000 0.0000 0.5000  6 O 1.97
O: 0.0000 0.1809 0.2920  1 Te 1.97
O: 0.1961 0.5000 0.0000  1 Tl 2.13, 2 Bi 2.28
O: 0.2193 0.5000 0.5000  1 Te 1.97

---

[9]
The following is a PBE calculation of a geometry-optimized YScF2 structure, from Alexandria via LeMat-Bulk.

Output
- crystal system = trigonal
- ΔE_f (raw) (eV/atom) = -2.468
- uncorrected energy (eV/atom) = -6.602
- energy above the lowest structure with this stoichiometry (meV per atom) = 0.0
- spin magnetization (μB/atom) = 0.00

abc: 3.7219 3.7219 17.8868
angles: 90.00 90.00 120.00
With the nearest neighbours (Å) after each atom.
Space group R-3m (No. 166, hexagonal axes)
Symmetry-distinct sites (fractional):
Y: 0.0000 0.0000 0.0000  2 F 2.36
Sc: 0.0000 0.0000 0.5000  6 F 2.24
F: 0.0000 0.0000 0.1320  3 Sc 2.24, 1 Y 2.36, 3 F 2.48

---

[10]
The following is a PBE calculation of a geometry-optimized CsN2Cl structure, from Alexandria via LeMat-Bulk.

Output
- crystal system = trigonal
- ΔE_f (raw) (eV/atom) = 2.265
- uncorrected energy (eV/atom) = -2.572
- energy above the lowest structure with this stoichiometry (meV per atom) = 3178.4
- spin magnetization (μB/atom) = 0.00

abc: 3.4249 3.4249 22.7215
angles: 90.00 90.00 120.00
With the nearest neighbours (Å) after each atom.
Space group R-3m (No. 166, hexagonal axes)
Symmetry-distinct sites (fractional):
Cs: 0.0000 0.0000 0.0000  2 N 2.73
N: 0.0000 0.0000 0.1204  3 Cl 2.24
Cl: 0.0000 0.0000 0.5000  6 N 2.24

---

[11]
The following is a PBE calculation of a geometry-optimized Ho4GaSe2Cl structure, from Alexandria via LeMat-Bulk.

Output
- crystal system = monoclinic
- ΔE_f (raw) (eV/atom) = -1.339
- uncorrected energy (eV/atom) = -5.109
- spin magnetization (μB/atom) = 0.00

abc: 7.0643 4.0302 7.1022
angles: 90.00 108.86 90.00
With the nearest neighbours (Å) after each atom.
Space group P2/m (No. 10)
Symmetry-distinct sites (fractional):
Ho: 0.2305 0.0000 0.2452  1 Ga 2.80, 3 Se 2.81-2.97, 2 Cl 2.96
Ho: 0.2388 0.5000 0.7445  2 Ga 2.83, 3 Se 2.85-2.93, 1 Cl 2.91
Ga: 0.0000 0.0000 0.5000  6 Ho 2.80-2.83
Se: 0.0000 0.5000 0.0000  6 Ho 2.81-2.85
Se: 0.5000 0.0000 0.0000  6 Ho 2.93-2.97
Cl: 0.5000 0.5000 0.5000  6 Ho 2.91-2.96

---

[12]
The following is a PBE calculation of a geometry-optimized Ac3Sm2Dy2 structure, from Alexandria via LeMat-Bulk.

Output
- crystal system = orthorhombic
- uncorrected energy (eV/atom) = -4.361
- spin magnetization (μB/atom) = 0.00

abc: 5.6310 25.1252 3.7338
angles: 90.00 90.00 90.00
With the nearest neighbours (Å) after each atom.
Space group Cmmm (No. 65)
Symmetry-distinct sites (fractional):
Ac: 0.0000 0.0000 0.0000  4 Ac 3.73-3.85, 8 Sm 3.85
Ac: 0.0000 0.1534 0.0000  6 Dy 3.71-3.80, 3 Ac 3.73-3.85, 4 Sm 3.93
Sm: 0.0000 0.4269 0.5000  1 Dy 3.56, 3 Sm 3.67-3.73, 8 Ac 3.85-3.93
Dy: 0.0000 0.2853 0.5000  2 Dy 3.33, 1 Sm 3.56, 4 Ac 3.71

---

> Which of these has the highest spin magnetization?

CaPr2PuS4

---

> Look up the uncorrected energy of the ninth one.

-6.602 eV/atom